Ho12Cu6Au: relaxed, PBE.

Unit cell a=8.406 b=8.406 c=8.406 alpha=109.47 beta=109.47 gamma=109.47
Fractional positions:
Cu  0.374  0.500  0.874
Ho  0.104  0.812  0.292
Au  0.000  0.000  0.000
Cu  0.874  0.374  0.500
Ho  0.521  0.812  0.708
Ho  0.479  0.188  0.292
Cu  0.126  0.626  0.500
Ho  0.708  0.896  0.188
Cu  0.500  0.126  0.626
Ho  0.188  0.292  0.479
Ho  0.896  0.188  0.708
Cu  0.626  0.500  0.126
Ho  0.812  0.292  0.104
Ho  0.812  0.708  0.521
Ho  0.188  0.708  0.896
Ho  0.292  0.104  0.812
Ho  0.292  0.479  0.188
Ho  0.708  0.521  0.812
Cu  0.500  0.874  0.374


MgTcP: relaxed, PBE.

Unit cell a=5.152 b=5.152 c=5.152 alpha=144.84 beta=144.84 gamma=50.57
Fractional positions:
Tc  0.698  0.698  0.000
P  0.304  0.304  0.000
Mg  0.998  0.998  0.000

Values from the calculation:
ΔE to the lowest computed polymorph = 0.000 eV per formula unit


Na3Er2RhO6: relaxed, PBE.

Unit cell a=5.648 b=5.648 c=5.877 alpha=99.05 beta=99.05 gamma=119.96
Fractional positions:
Er  0.667  0.333  0.000
O  0.748  0.748  0.211
O  0.252  0.252  0.789
Na  0.843  0.157  0.500
Er  0.333  0.667  0.000
O  0.929  0.609  0.786
O  0.609  0.929  0.786
Rh  0.000  0.000  0.000
O  0.071  0.391  0.214
O  0.391  0.071  0.214
Na  0.500  0.500  0.500
Na  0.157  0.843  0.500

Values from the calculation:
E_form (uncorrected) = -2590 kJ/mol of formula units


CaZnSe2: relaxed, PBE.

Unit cell a=4.284 b=4.284 c=6.375 alpha=90.00 beta=90.00 gamma=90.00
Fractional positions:
Zn  0.500  0.500  0.500
Se  0.500  0.000  0.288
Ca  0.000  0.000  0.000
Se  0.000  0.500  0.712

Values from the calculation:
E_form (uncorrected) = -450 kJ/mol of formula units


YHgRhBr2: relaxed, PBE.

Unit cell a=4.998 b=5.315 c=4.998 alpha=90.00 beta=90.00 gamma=90.00
Fractional positions:
Hg  0.000  0.500  0.000
Y  0.500  0.500  0.500
Br  0.000  0.000  0.500
Rh  0.000  0.000  0.000
Br  0.500  0.000  0.000

Values from the calculation:
E_form (uncorrected) = -34 kJ/mol of formula units


PrNdHgGe: relaxed, PBE.

Unit cell a=5.333 b=5.333 c=5.333 alpha=60.00 beta=60.00 gamma=60.00
Fractional positions:
Nd  0.000  0.000  0.000
Hg  0.250  0.250  0.250
Ge  0.750  0.750  0.750
Pr  0.500  0.500  0.500


Ba2SrCu: relaxed, PBE.

Unit cell a=4.335 b=4.841 c=9.338 alpha=74.94 beta=90.00 gamma=90.00
Fractional positions:
Ba  0.000  0.923  0.030
Ba  0.500  0.264  0.347
Sr  0.500  0.587  0.702
Cu  0.000  0.726  0.421

Values from the calculation:
ΔE to the lowest computed polymorph = 0.185 eV per formula unit


SrPdWBr2: relaxed, PBE.

Unit cell a=5.106 b=5.092 c=5.106 alpha=90.00 beta=90.00 gamma=90.00
Site moments in Bohr magnetons follow the coordinates.
Fractional positions:
Br  0.500  0.000  0.000  0.04
W  0.000  0.000  0.000  0.85
Br  0.000  0.000  0.500  0.03
Sr  0.500  0.500  0.500  0.00
Pd  0.000  0.500  0.000  0.01

Values from the calculation:
E_form (uncorrected) = 41 kJ/mol of formula units


La2Tb2YCd5: relaxed, PBE.

Unit cell a=4.813 b=10.737 c=10.737 alpha=90.00 beta=90.00 gamma=90.00
Fractional positions:
Tb  0.000  0.376  0.124
Tb  0.000  0.124  0.624
Cd  0.500  0.000  0.500
Y  0.000  0.000  0.000
Cd  0.500  0.567  0.694
Cd  0.500  0.194  0.067
Tb  0.000  0.624  0.876
Cd  0.500  0.933  0.194
Cd  0.500  0.694  0.433
La  0.000  0.675  0.175
La  0.000  0.825  0.675
Cd  0.500  0.306  0.567
Tb  0.000  0.876  0.376
Cd  0.500  0.433  0.306
Cd  0.500  0.500  0.000
Y  0.000  0.500  0.500
Cd  0.500  0.067  0.806
La  0.000  0.325  0.825
La  0.000  0.175  0.325
Cd  0.500  0.806  0.933


Ho3H2Pb3: relaxed, PBE.

Unit cell a=3.716 b=6.223 c=16.299 alpha=90.00 beta=90.00 gamma=107.37
Fractional positions:
Pb  0.073  0.145  0.887
Ho  0.303  0.606  0.250
Pb  0.577  0.155  0.250
Pb  0.927  0.855  0.387
Ho  0.354  0.708  0.944
Pb  0.927  0.855  0.113
H  0.226  0.452  0.037
H  0.774  0.548  0.537
Pb  0.073  0.145  0.613
Ho  0.697  0.394  0.750
Ho  0.354  0.708  0.556
H  0.774  0.548  0.963
H  0.226  0.452  0.463
Ho  0.646  0.292  0.056
Pb  0.423  0.845  0.750
Ho  0.646  0.292  0.444


TlRe2Au: relaxed, PBE.

Unit cell a=2.873 b=4.328 c=5.972 alpha=90.00 beta=90.00 gamma=90.00
Fractional positions:
Re  0.000  0.000  0.947
Re  0.000  0.000  0.553
Tl  0.500  0.500  0.250
Au  0.500  0.500  0.750

Values from the calculation:
ΔE to the lowest computed polymorph = 2.268 eV per formula unit


Sm3AgPd3: relaxed, PBE.

Unit cell a=4.125 b=5.712 c=14.708 alpha=90.00 beta=90.00 gamma=111.17
Fractional positions:
Sm  0.443  0.885  0.750
Sm  0.557  0.115  0.250
Ag  0.500  0.000  0.000
Sm  0.173  0.346  0.601
Pd  0.716  0.433  0.750
Ag  0.500  0.000  0.500
Pd  0.116  0.232  0.397
Sm  0.827  0.654  0.399
Pd  0.884  0.768  0.603
Pd  0.116  0.232  0.103
Pd  0.884  0.768  0.897
Pd  0.284  0.567  0.250
Sm  0.827  0.654  0.101
Sm  0.173  0.346  0.899


no.,electronic total energy (eV per atom),calculated volume (Å³ per atom)
1,-4.58,24.06
2,-6.26,15.03
3,-6.42,12.85
4,-3.73,29.25
5,-3.56,26.56
6,-4.18,26.81
7,-2.35,47.31
8,-4.55,26.55
9,-3.23,27.75
10,-4.35,22.48
11,-6.66,18.56
12,-5.37,23.08